Entry from Alexandria: a relaxed NaEu2Ga crystal (PBE).

Values from the calculation:
Symmetry: No. 166
Excess energy over the best structure of this formula in the dataset: 2.99 kcal/mol of atoms
N(E_F): 14.45 states/eV/f.u.

Structure (extended XYZ):
```
4
Lattice="3.836 0.000 0.000 1.918 3.322 0.000 1.918 1.107 11.069" Properties=species:S:1:pos:R:3 pbc="T T T"
Eu 1.918 1.107 2.236
Eu 5.754 3.322 8.833
Na 3.836 2.215 5.534
Ga 0.000 0.000 0.000
```

***

Entry from Alexandria: a relaxed HfCuOs2Pb crystal (PBE).

Values from the calculation:
Symmetry: No. 123
Energy: -34.3 eV/cell
N(E_F): 3.67 states/eV/f.u.

Structure (extended XYZ):
```
5
Lattice="-4.063 1.120 -1.903 -2.066 -0.733 3.981 0.674 4.425 1.165" Properties=species:S:1:pos:R:3 pbc="T T T"
Pb -2.728 2.406 1.621
Hf -1.033 -0.366 1.990
Os 0.337 2.212 0.582
Os -2.032 0.560 -0.951
Cu 0.000 0.000 0.000
```

***

Entry from Alexandria: a relaxed RbBa2Ca crystal (PBE).

Values from the calculation:
Symmetry: No. 122
Excess energy over the best structure of this formula in the dataset: 5.37 kcal/mol of atoms
N(E_F): 11.37 states/eV/f.u.

Structure (extended XYZ):
```
8
Lattice="10.871 0.000 0.000 0.000 10.871 0.000 5.436 5.436 4.181" Properties=species:S:1:pos:R:3 pbc="T T T"
Ca 5.436 5.436 0.000
Ca 5.436 10.871 2.091
Ba 8.121 2.718 1.045
Ba 2.750 8.153 1.045
Ba 8.153 8.186 3.136
Ba 13.589 13.557 3.136
Rb 0.000 0.000 0.000
Rb 10.871 5.436 2.091
```

***

Entry from Alexandria: a relaxed Dy4RhAu3 crystal (PBE).

Values from the calculation:
Symmetry: No. 123
Energy: -42.5 eV/cell
N(E_F): 4.88 states/eV/f.u.

Structure (extended XYZ):
```
8
Lattice="-0.504 -3.141 -1.551 0.873 -1.630 3.018 -13.769 0.190 4.087" Properties=species:S:1:pos:R:3 pbc="T T T"
Au -3.194 -2.339 1.736
Au -6.700 -2.291 2.777
Au -10.206 -2.242 3.817
Rh 0.185 -2.386 0.733
Dy -12.175 0.168 3.614
Dy -1.595 0.022 0.473
Dy -5.110 0.070 1.517
Dy -8.660 0.119 2.570
```

***

Entry from Alexandria: a relaxed Ca3PbF crystal (PBE).

Values from the calculation:
Symmetry: No. 11
Excess energy over the best structure of this formula in the dataset: 0.00 kcal/mol of atoms
Formation energy from raw total energies: -1.350 eV/atom
N(E_F): 1.39 states/eV/f.u.

Structure (extended XYZ):
```
20
Lattice="-3.580 4.070 4.280 1.903 -5.164 6.503 7.095 5.676 0.537" Properties=species:S:1:pos:R:3 pbc="T T T"
Ca 1.679 3.594 9.130
Ca 3.738 0.988 2.190
Ca 6.449 3.278 7.847
Ca -1.031 1.305 3.472
Ca 3.466 1.559 6.992
Ca 1.952 3.023 4.327
Ca 8.239 1.246 5.709
Ca -2.821 3.336 5.610
Ca 1.557 -0.844 4.893
Ca 3.860 5.427 6.426
Ca 1.264 0.008 9.410
Ca 4.154 4.575 1.909
Pb 2.282 6.794 3.806
Pb 3.135 -2.212 7.513
Pb 5.732 3.207 4.530
Pb -0.314 1.375 6.789
F 3.211 0.808 4.704
F 2.206 3.774 6.615
F -0.390 -1.645 9.598
F 5.808 6.228 1.721
```

***

Entry from Alexandria: a relaxed SiAg3I crystal (PBE).

Values from the calculation:
Symmetry: No. 221
Excess energy over the best structure of this formula in the dataset: 0.00 kcal/mol of atoms
Formation energy from raw total energies: 0.443 eV/atom
N(E_F): 5.49 states/eV/f.u.

Structure (extended XYZ):
```
5
Lattice="4.972 0.000 0.000 0.000 4.972 0.000 0.000 0.000 4.972" Properties=species:S:1:pos:R:3 pbc="T T T"
I 2.486 2.486 2.486
Si 0.000 0.000 0.000
Ag 0.000 2.486 0.000
Ag 0.000 0.000 2.486
Ag 2.486 0.000 0.000
```

***

Entry from Alexandria: a relaxed InAgBiAu crystal (PBE).

Values from the calculation:
Symmetry: No. 216
Energy: -12.5 eV/cell
N(E_F): 1.86 states/eV/f.u.

Structure (extended XYZ):
```
4
Lattice="-4.380 1.567 -2.050 -2.912 -3.271 -2.582 -4.424 -1.559 1.959" Properties=species:S:1:pos:R:3 pbc="T T T"
Au -8.787 -2.447 -2.004
Bi 0.000 0.000 0.000
Ag -2.929 -0.816 -0.668
In -5.858 -1.632 -1.336
```

***

Entry from Alexandria: a relaxed CsAg2AsCl8 crystal (PBE).

Values from the calculation:
Symmetry: No. 2
Formation energy from raw total energies: -0.684 eV/atom
N(E_F): 5.24 states/eV/f.u.

Structure (extended XYZ):
```
12
Lattice="-3.201 5.100 -0.562 -2.752 -0.668 5.473 6.884 5.052 6.677" Properties=species:S:1:pos:R:3 pbc="T T T"
Cs 3.442 2.526 3.338
Ag 2.706 6.111 8.025
Ag -1.776 3.372 3.563
As 0.000 0.000 0.000
Cl -1.474 1.419 5.155
Cl -4.261 3.148 3.637
Cl -1.920 4.880 1.517
Cl 2.405 8.064 6.432
Cl 5.191 6.336 7.951
Cl 2.851 4.603 10.071
Cl 0.501 5.281 7.645
Cl 0.430 4.203 3.942
```